Density functional theory data (PBE) for a geometry-optimized Nd2YCu structure.

The calculation puts the energy above the most stable polymorph in this dataset at 333.0 meV per atom.

Cell lengths 11.261, 11.261, 11.261 Å; angles 18.16, 18.16, 18.16 degrees
Element x y z (fractional)
1 Nd 0.103 0.103 0.103
2 Nd 0.897 0.897 0.897
3 Y 0.000 0.000 0.000
4 Cu 0.500 0.500 0.500

---

Density functional theory data (PBE) for a geometry-optimized Mn2BeGa structure.

Cell lengths 3.722, 3.722, 3.412 Å; angles 90.00, 90.00, 90.00 degrees
Element x y z (fractional)
1 Mn 0.000 0.500 0.000
2 Mn 0.500 0.000 0.000
3 Be 0.000 0.000 0.500
4 Ga 0.500 0.500 0.500

---

no.,density of states at the Fermi level (states/eV per cell),final energy (eV per atom),formation energy from the elements (meV per atom)
1,7.32,-4.76,261.5
2,2.36,-6.35,-78.3